Record 1
# AgBiI2N (GGA-PBEsol, relaxed)
data_AgBiI2N
_cell_length_a 5.7831
_cell_length_b 5.7831
_cell_length_c 3.9500
_cell_angle_alpha 90.00
_cell_angle_beta 90.00
_cell_angle_gamma 90.00
_space_group_name_H-M_alt 'P 4/m m m'
_space_group_IT_number 123
_space_group_name_Hall '-P 4 2'
loop_
_atom_site_label
_atom_site_type_symbol
_atom_site_fract_x
_atom_site_fract_y
_atom_site_fract_z
Ag1 Ag 0.0000 0.0000 0.0000
Bi1 Bi 0.5000 0.5000 0.5000
I1 I 0.0000 0.5000 0.0000
N1 N 0.0000 0.0000 0.5000
# Uncorrected formation energy ... 0.81 eV/atom

---

Record 2
# YNbIr3 (GGA-PBEsol, relaxed)
data_YNbIr3
_cell_length_a 4.7399
_cell_length_b 4.7399
_cell_length_c 4.7399
_cell_angle_alpha 90.00
_cell_angle_beta 90.00
_cell_angle_gamma 90.00
_space_group_name_H-M_alt 'P m -3 m'
_space_group_IT_number 221
_space_group_name_Hall '-P 4 2 3'
loop_
_atom_site_label
_atom_site_type_symbol
_atom_site_fract_x
_atom_site_fract_y
_atom_site_fract_z
Y1 Y 0.0000 0.0000 0.0000
Nb1 Nb 0.5000 0.5000 0.5000
Ir1 Ir 0.0000 0.5000 0.5000
# ΔH_f (0 K) ... 0.655 eV per atom

---

Mass density readings, ordered: 7.349, 11.827 Mg/m³
V readings, ordered: 132.10, 106.49 Å³ per cell